Computed, not measured: RbTlCdPb2 after structural relaxation at the GGA-PBE level of DFT.

Properties
- Energy relative to the lowest polymorph listed for this composition: 0 meV/atom
- Total moment: 0.0 μB per cell
- DFT total energy: -2.3900 eV/atom

Cell lengths 5.2527, 5.2527, 13.1036 Å; angles 90.00, 90.00, 90.00 degrees
Space group I-4m2 (No. 119)
Unique sites:
Rb: 0.0000 0.0000 0.0000 (multiplicity 2)
Tl: 0.0000 0.5000 0.2500 (multiplicity 2)
Cd: 0.0000 0.5000 0.7500 (multiplicity 2)
Pb: 0.0000 0.0000 0.3819 (multiplicity 4)

Computed, not measured: BaRuW2 after structural relaxation at the GGA-PBE level of DFT.

Properties
- Energy relative to the lowest polymorph listed for this composition: 734 meV/atom
- Total moment: 0.0 μB per cell
- DFT total energy: -7.8264 eV/atom

Cell lengths 6.6658, 6.6658, 6.6658 Å; angles 90.00, 90.00, 90.00 degrees
Space group Fm-3m (No. 225)
Unique sites:
Ba: 0.0000 0.0000 0.0000 (multiplicity 4)
Ru: 0.0000 0.0000 0.5000 (multiplicity 4)
W: 0.2500 0.2500 0.2500 (multiplicity 8)

Computed, not measured: Pm2GaGeAu6 after structural relaxation at the GGA-PBE level of DFT.

Properties
- Total moment: 0.0 μB per cell
- DFT total energy: -4.1459 eV/atom

Cell lengths 5.4901, 6.8041, 6.8610 Å; angles 73.23, 66.52, 66.54 degrees
Space group P-1 (No. 2)
Unique sites:
Pm: 0.0039 0.2526 0.2384 (multiplicity 2)
Ga: 0.5000 0.0000 0.5000 (multiplicity 1)
Ge: 0.5000 0.5000 0.0000 (multiplicity 1)
Au: 0.0041 0.3081 0.6788 (multiplicity 2)
Au: 0.3350 0.9199 0.9163 (multiplicity 2)
Au: 0.4960 0.6872 0.3229 (multiplicity 2)

Computed, not measured: K4Cd5Hg after structural relaxation at the GGA-PBE level of DFT.

Properties
- Total moment: 0.0 μB per cell
- DFT total energy: -0.9357 eV/atom

Cell lengths 7.6337, 7.7083, 12.5551 Å; angles 90.00, 90.00, 90.00 degrees
Space group Pmmn (No. 59, origin choice 2)
Unique sites:
K: 0.0013 0.2500 0.0200 (multiplicity 4)
K: 0.2500 0.5054 0.4839 (multiplicity 4)
Cd: 0.0600 0.0275 0.7496 (multiplicity 8)
Cd: 0.2500 0.7500 0.2253 (multiplicity 2)
Hg: 0.2500 0.2500 0.2563 (multiplicity 2)

Computed, not measured: Zr2AlGe2Ru5 after structural relaxation at the GGA-PBE level of DFT.

Properties
- Total moment: 0.0 μB per cell
- DFT total energy: -8.1412 eV/atom

Cell lengths 9.8214, 9.8214, 3.2932 Å; angles 90.00, 90.00, 90.00 degrees
Space group P4/mbm (No. 127)
Unique sites:
Zr: 0.1715 0.3285 0.0000 (multiplicity 4)
Al: 0.0000 0.0000 0.0000 (multiplicity 2)
Ge: 0.1302 0.6302 0.0000 (multiplicity 4)
Ru: 0.0000 0.5000 0.5000 (multiplicity 2)
Ru: 0.0562 0.7969 0.5000 (multiplicity 8)

Computed, not measured: CoOs7 after structural relaxation at the GGA-PBE level of DFT.

Properties
- Total moment: 0.0 μB per cell
- DFT total energy: -10.5149 eV/atom

Cell lengths 7.6480, 7.6480, 7.6480 Å; angles 90.00, 90.00, 90.00 degrees
Space group Fm-3m (No. 225)
Unique sites:
Co: 0.0000 0.0000 0.0000 (multiplicity 4)
Os: 0.0000 0.0000 0.5000 (multiplicity 4)
Os: 0.0000 0.2500 0.2500 (multiplicity 24)

Computed, not measured: Tb6Sn2Te3As after structural relaxation at the GGA-PBE level of DFT.

Properties
- Formation energy (no corrections): -1400 kJ/mol of formula units
- Total moment: 0.0 μB per cell
- DFT total energy: -5.3647 eV/atom

Cell lengths 19.0345, 4.3484, 8.7590 Å; angles 90.00, 103.58, 90.00 degrees
Space group C2/m (No. 12)
Unique sites:
Tb: 0.0028 0.0000 0.2307 (multiplicity 4)
Tb: 0.1584 0.5000 0.0863 (multiplicity 4)
Tb: 0.1683 0.5000 0.5757 (multiplicity 4)
Sn: 0.1663 0.0000 0.3313 (multiplicity 4)
Te: 0.0000 0.5000 0.5000 (multiplicity 2)
Te: 0.1672 0.0000 0.8341 (multiplicity 4)
As: 0.0000 0.5000 0.0000 (multiplicity 2)

Computed, not measured: Ti2V2N3 after structural relaxation at the GGA-PBE level of DFT.

Properties
- Formation energy (no corrections): -908 kJ/mol of formula units
- Total moment: 0.0 μB per cell
- DFT total energy: -9.7736 eV/atom

Cell lengths 9.9085, 2.9670, 5.0821 Å; angles 90.00, 104.30, 90.00 degrees
Space group C2/m (No. 12)
Unique sites:
Ti: 0.1207 0.0000 0.3643 (multiplicity 4)
V: 0.1424 0.5000 0.8562 (multiplicity 4)
N: 0.0000 0.5000 0.5000 (multiplicity 2)
N: 0.2453 0.5000 0.2509 (multiplicity 4)

Computed, not measured: ReTcMo2Pt after structural relaxation at the GGA-PBE level of DFT.

Properties
- Total moment: 2.4 μB per cell
- DFT total energy: -7.8609 eV/atom

Cell lengths 4.7128, 4.7128, 4.7172 Å; angles 90.00, 90.00, 90.00 degrees
Space group P4/mmm (No. 123)
Unique sites:
Re: 0.0000 0.0000 0.0000 (multiplicity 1)
Tc: 0.5000 0.5000 0.0000 (multiplicity 1)
Mo: 0.0000 0.5000 0.5000 (multiplicity 2)
Pt: 0.0000 0.0000 0.5000 (multiplicity 1)

Computed, not measured: TbPr5Ho6 after structural relaxation at the GGA-PBE level of DFT.

Properties
- Total moment: 0.0 μB per cell
- DFT total energy: -4.6467 eV/atom

Cell lengths 5.1281, 10.1088, 15.3477 Å; angles 90.00, 90.00, 90.00 degrees
Space group Immm (No. 71)
Unique sites:
Tb: 0.0000 0.0000 0.0000 (multiplicity 2)
Pr: 0.0000 0.0000 0.3333 (multiplicity 4)
Pr: 0.0000 0.5000 0.0000 (multiplicity 2)
Pr: 0.0000 0.5000 0.3349 (multiplicity 4)
Ho: 0.0000 0.2491 0.1662 (multiplicity 8)
Ho: 0.0000 0.2516 0.5000 (multiplicity 4)

Computed, not measured: LaCoAs2Br after structural relaxation at the GGA-PBE level of DFT.

Properties
- Formation energy (no corrections): 424 kJ/mol of formula units
- Energy relative to the lowest polymorph listed for this composition: 1377 meV/atom
- Total moment: 2.3 μB per cell
- DFT total energy: -3.7220 eV/atom

Cell lengths 5.1988, 5.1988, 5.4469 Å; angles 90.00, 90.00, 90.00 degrees
Space group P4/mmm (No. 123)
Unique sites:
La: 0.0000 0.0000 0.0000 (multiplicity 1)
Co: 0.5000 0.5000 0.0000 (multiplicity 1)
As: 0.0000 0.5000 0.5000 (multiplicity 2)
Br: 0.0000 0.0000 0.5000 (multiplicity 1)

Computed, not measured: HfScZnIn after structural relaxation at the GGA-PBE level of DFT.

Properties
- Energy relative to the lowest polymorph listed for this composition: 0 meV/atom
- Total moment: 0.2 μB per cell
- DFT total energy: -5.3436 eV/atom

Cell lengths 3.2172, 3.2172, 7.7998 Å; angles 90.00, 90.00, 90.00 degrees
Space group P4mm (No. 99)
Unique sites:
Hf: 0.0000 0.0000 0.0000 (multiplicity 1)
Sc: 0.0000 0.0000 0.4576 (multiplicity 1)
Zn: 0.5000 0.5000 0.2254 (multiplicity 1)
In: 0.5000 0.5000 0.7278 (multiplicity 1)

Question: Look up the total moment of the fifth one.
Answer: 0.0 μB per cell